(1)
6
Lattice="2.100 -1.123 4.852 2.840 -3.399 3.097 6.736 2.059 0.170" Properties=species:S:1:pos:R:3 comment="TlRh2 GGA-PBE optimized geometry" space_group="No. 12" delta_e_f_ev_per_atom=0.227 pbc="T T T"
Tl 6.595 0.959 1.538
Tl 5.082 -3.421 6.581
Rh 3.849 0.352 1.167
Rh 7.579 -0.440 3.767
Rh 7.827 -2.815 6.952
Rh 4.097 -2.023 4.352



(2)
7
Lattice="4.776 0.000 0.000 0.000 4.776 0.000 2.388 2.388 7.328" Properties=species:S:1:pos:R:3 comment="AsPd4I2 GGA-PBE optimized geometry" space_group="No. 139" e_tot_ev_per_atom=-3.932 pbc="T T T"
Pd 0.000 2.388 0.000
Pd 4.776 4.776 2.336
Pd 2.388 2.388 4.992
Pd 2.388 0.000 0.000
I 4.776 4.776 5.068
I 2.388 2.388 2.259
As 0.000 0.000 0.000



(3)
8
Lattice="3.766 0.000 0.000 0.000 3.766 0.000 1.883 1.883 9.386" Properties=species:S:1:pos:R:3 comment="Ti2VPt GGA-PBE optimized geometry" space_group="No. 122" delta_e_f_ev_per_atom=0.088 pbc="T T T"
Pt 0.000 0.000 0.000
Pt 3.766 1.883 4.693
Ti 2.819 0.942 2.347
Ti 0.947 2.825 2.347
Ti 2.825 2.831 7.040
Ti 4.708 4.702 7.040
V 1.883 1.883 0.000
V 1.883 3.766 4.693



(4)
5
Lattice="4.136 0.000 0.000 0.000 4.136 0.000 0.000 0.000 8.497" Properties=species:S:1:pos:R:3 comment="AuIBrN2 GGA-PBE optimized geometry" space_group="No. 123" e_tot_ev_per_atom=-3.026 pbc="T T T"
I 0.000 0.000 4.248
N 0.000 2.068 0.000
N 2.068 0.000 0.000
Br 2.068 2.068 4.248
Au 0.000 0.000 0.000



(5)
4
Lattice="3.969 0.000 0.000 0.000 5.607 0.000 0.000 0.000 5.607" Properties=species:S:1:pos:R:3 comment="Ba2PdSe GGA-PBE optimized geometry" space_group="No. 123" e_tot_ev_per_atom=-4.265 pbc="T T T"
Se 1.985 2.804 2.804
Ba 0.000 0.000 2.804
Ba 0.000 2.804 0.000
Pd 1.985 0.000 0.000



(6)
3
Lattice="-1.140 -3.301 0.355 4.802 -1.843 -1.720 -0.838 0.859 5.289" Properties=species:S:1:pos:R:3 comment="LuBiPb GGA-PBE optimized geometry" space_group="No. 156" delta_e_f_ev_per_atom=-0.109 pbc="T T T"
Pb 2.138 -3.210 0.860
Lu 0.656 -1.158 3.073
Bi -1.112 -3.219 0.346



(7)
5
Lattice="4.292 0.000 0.000 0.000 5.046 0.000 0.000 0.000 4.292" Properties=species:S:1:pos:R:3 comment="RbYGaC2 GGA-PBE optimized geometry" space_group="No. 123" delta_e_f_ev_per_atom=2.060 pbc="T T T"
C 2.146 0.000 0.000
C 0.000 0.000 2.146
Y 2.146 2.523 2.146
Ga 0.000 0.000 0.000
Rb 0.000 2.523 0.000



(8)
6
Lattice="-3.173 1.811 -2.398 -0.762 -1.099 4.161 2.152 6.602 2.138" Properties=species:S:1:pos:R:3 comment="PmHoGa2Cu2 GGA-PBE optimized geometry" space_group="No. 164" delta_e_f_ev_per_atom=-0.484 pbc="T T T"
Cu -1.778 2.655 0.376
Cu -0.004 4.659 3.525
Ga -0.992 1.628 2.544
Ga -0.790 5.685 1.357
Ho 1.076 3.301 1.069
Pm 0.000 0.000 0.000



(9)
5
Lattice="4.063 0.000 0.000 0.000 4.063 0.000 0.000 0.000 4.093" Properties=species:S:1:pos:R:3 comment="BiN2ClF GGA-PBE optimized geometry" space_group="No. 123" e_tot_ev_per_atom=-3.560 pbc="T T T"
Cl 0.000 0.000 0.000
N 0.000 2.031 0.000
N 2.031 0.000 0.000
F 0.000 0.000 2.046
Bi 2.031 2.031 2.046



(10)
5
Lattice="5.256 0.000 0.000 0.000 5.256 0.000 0.000 0.000 5.256" Properties=species:S:1:pos:R:3 comment="Sc3TiTe GGA-PBE optimized geometry" space_group="No. 221" e_tot_ev_per_atom=-5.588 pbc="T T T"
Te 0.000 0.000 0.000
Ti 2.628 2.628 2.628
Sc 0.000 0.000 2.628
Sc 2.628 0.000 0.000
Sc 0.000 2.628 0.000



(11)
6
Lattice="2.745 -4.755 0.000 2.745 4.755 0.000 0.000 0.000 5.297" Properties=species:S:1:pos:R:3 comment="Zr5Ru GGA-PBE optimized geometry" space_group="No. 191" delta_e_f_ev_per_atom=0.768 pbc="T T T"
Ru 0.000 0.000 0.000
Zr 1.373 -2.378 2.648
Zr 2.745 -1.585 0.000
Zr 1.373 2.378 2.648
Zr 2.745 0.000 2.648
Zr 2.745 1.585 0.000



(12)
4
Lattice="-2.827 -1.074 -1.659 1.120 -3.256 0.200 -4.309 -0.993 7.983" Properties=species:S:1:pos:R:3 comment="BaSc2P GGA-PBE optimized geometry" space_group="No. 123" delta_e_f_ev_per_atom=-0.360 pbc="T T T"
Ba -0.853 -2.165 -0.730
Sc -1.496 -0.345 2.771
Sc -2.813 -0.648 5.212
P -3.008 -2.662 3.261



Number 1: magnetic moment 0.0 μB per formula unit. Number 2: magnetic moment 0.0 μB per formula unit. Number 3: magnetic moment 1.1 μB per formula unit. Number 4: magnetic moment 3.6 μB per formula unit. Number 5: magnetic moment 0.0 μB per formula unit. Number 6: magnetic moment 0.0 μB per formula unit. Number 7: magnetic moment 0.0 μB per formula unit. Number 8: magnetic moment 0.0 μB per formula unit. Number 9: magnetic moment 0.0 μB per formula unit. Number 10: magnetic moment 0.0 μB per formula unit. Number 11: magnetic moment 0.0 μB per formula unit. Number 12: magnetic moment 0.6 μB per formula unit.